A plane-wave DFT calculation with PBE was carried out for crystalline CsCoHgS3 at its relaxed geometry.

Unit cell a=8.444 b=8.444 c=10.079 alpha=90.00 beta=90.00 gamma=155.34
Fractional positions:
S 0.040 0.960 0.250
Co 0.000 0.000 0.000
S 0.589 0.411 0.988
Cs 0.716 0.284 0.250
S 0.411 0.589 0.012
Co 0.000 0.000 0.500
S 0.960 0.040 0.750
Hg 0.587 0.413 0.750
S 0.589 0.411 0.512
S 0.411 0.589 0.488
Cs 0.284 0.716 0.750
Hg 0.413 0.587 0.250

Computed properties:
Calculated density in g/cm³: 5.411
Space-group type: Cmcm, No. 63
Total magnetization in μB per cell: 0.76
Energy in eV per atom: -3.70
Calculated volume in Å³ per atom: 25.0